The following is a DFT calculation (PBE+U) of an optimized crystal structure of Na2AlCoO4.

Total DFT energy (no corrections) (eV for the cell shown): -355.0
ρ (g/cm3): 2.70

Lattice parameters (Å, degrees): 5.2272 11.7672 15.6487 90.00 90.00 90.00
Closest atoms and distances in Å follow each position.
Space group Fddd (No. 70, origin choice 2)
Inequivalent atoms, fractional coordinates:
Na 0.1250 0.1250 0.3150 x16  2 O 2.30
Al 0.1250 0.1250 0.6250 x8  4 O 1.81
Co 0.1250 0.1250 0.1250 x8  4 O 1.84
O 0.1211 0.2764 0.8422 x32  1 Al 1.81, 1 Co 1.84